Below is SmHo2Al2 after structural relaxation, with properties calculated at the PBE level.

**Formation enthalpy at 0 K**: -149 meV/atom
**Energy above the lowest structure with this stoichiometry**: 154.5 meV per atom

Cell and atoms, written as POSCAR:
```
SmHo2Al2
1.0
5.5986 0.0000 0.0000
0.0000 3.7014 0.0000
-1.5014 0.0000 13.1703
Sm Ho Al
2 4 4
Direct
0.1806 0.2500 0.2335 Sm
0.8194 0.7500 0.7665 Sm
0.2401 0.7500 0.4628 Ho
0.3483 0.2500 0.8895 Ho
0.6517 0.7500 0.1105 Ho
0.7599 0.2500 0.5372 Ho
0.1465 0.7500 0.0392 Al
0.2938 0.2500 0.6581 Al
0.7062 0.7500 0.3419 Al
0.8535 0.2500 0.9608 Al
```

---

Below is YHo4ScS8 after structural relaxation, with properties calculated at the PBE level.

**ΔE_f (raw)**: -1922.3 meV per atom

Cell and atoms, written as POSCAR:
```
YHo4ScS8
1.0
3.9751 2.2950 6.4971
-3.9751 2.2950 6.4971
0.0000 -4.5901 6.4971
Y Ho Sc S
1 4 1 8
Direct
0.0000 0.0000 0.0000 Y
0.9997 0.9997 0.4874 Ho
0.9997 0.4874 0.9997 Ho
0.4874 0.9997 0.9997 Ho
0.6217 0.6217 0.6217 Ho
0.3715 0.3715 0.3715 Sc
0.2217 0.7542 0.7542 S
0.2435 0.2435 0.2435 S
0.2452 0.2452 0.7546 S
0.2452 0.7546 0.2452 S
0.7542 0.2217 0.7542 S
0.7542 0.7542 0.2217 S
0.7546 0.2452 0.2452 S
0.7552 0.7552 0.7552 S
```

---

Below is Mn2ZnGe after structural relaxation, with properties calculated at the PBE level.

**Formation enthalpy at 0 K**: -23 meV/atom

Cell and atoms, written as POSCAR:
```
Mn2ZnGe
1.0
3.8061 0.0000 0.0000
0.0000 3.8061 0.0000
0.0000 0.0000 3.6788
Mn Zn Ge
2 1 1
Direct
0.0000 0.5000 0.0000 Mn
0.5000 0.0000 0.0000 Mn
0.0000 0.0000 0.5000 Zn
0.5000 0.5000 0.5000 Ge
```

---

Below is K2Tl2Cd15 after structural relaxation, with properties calculated at the PBE level.

**Formation enthalpy at 0 K**: -51 meV/atom

Cell and atoms, written as POSCAR:
```
K2Tl2Cd15
1.0
5.3150 3.0686 5.0464
-5.3150 3.0686 5.0464
0.0000 -6.1373 5.0464
K Tl Cd
2 2 15
Direct
0.1600 0.1600 0.1600 K
0.8400 0.8400 0.8400 K
0.3958 0.3958 0.3958 Tl
0.6042 0.6042 0.6042 Tl
0.0000 0.5000 0.5000 Cd
0.1425 0.1425 0.6659 Cd
0.1425 0.6659 0.1425 Cd
0.1970 0.5000 0.8030 Cd
0.1970 0.8030 0.5000 Cd
0.3341 0.8575 0.8575 Cd
0.5000 0.0000 0.5000 Cd
0.5000 0.1970 0.8030 Cd
0.5000 0.5000 0.0000 Cd
0.5000 0.8030 0.1970 Cd
0.6659 0.1425 0.1425 Cd
0.8030 0.1970 0.5000 Cd
0.8030 0.5000 0.1970 Cd
0.8575 0.3341 0.8575 Cd
0.8575 0.8575 0.3341 Cd
```

---

Below is TbYCuNi after structural relaxation, with properties calculated at the PBE level.

**Formation enthalpy at 0 K**: -349 meV/atom
**Energy above the lowest structure with this stoichiometry**: 0.0 meV per atom

Cell and atoms, written as POSCAR:
```
TbYCuNi
1.0
4.3924 0.0000 0.0000
0.0000 3.7239 0.0000
0.0000 0.0000 10.2879
Tb Y Cu Ni
2 2 2 2
Direct
0.0000 0.0000 0.0000 Tb
0.0000 0.5000 0.5000 Tb
0.5000 0.0000 0.2779 Y
0.5000 0.5000 0.7779 Y
0.0000 0.0000 0.7102 Cu
0.0000 0.5000 0.2102 Cu
0.5000 0.0000 0.5666 Ni
0.5000 0.5000 0.0666 Ni
```

---

Below is Pm4Ga2Br after structural relaxation, with properties calculated at the PBE level.

**ΔE_f (raw)**: -525.3 meV per atom

Cell and atoms, written as POSCAR:
```
Pm4Ga2Br
1.0
6.7771 0.0000 0.0000
0.0000 6.4299 0.0000
-3.2690 0.0000 9.2193
Pm Ga Br
8 4 2
Direct
0.0034 0.0057 0.2664 Pm
0.0034 0.4943 0.2664 Pm
0.4235 0.7500 0.5553 Pm
0.4277 0.7500 0.1519 Pm
0.5723 0.2500 0.8481 Pm
0.5765 0.2500 0.4447 Pm
0.9966 0.5057 0.7336 Pm
0.9966 0.9943 0.7336 Pm
0.0959 0.2500 0.0137 Ga
0.2133 0.2500 0.5566 Ga
0.7867 0.7500 0.4434 Ga
0.9041 0.7500 0.9863 Ga
0.4000 0.7500 0.8476 Br
0.6000 0.2500 0.1524 Br
```

---

Below is Zn2InSb after structural relaxation, with properties calculated at the PBE level.

**ΔE_f (raw)**: 151.9 meV per atom
**Energy above the lowest structure with this stoichiometry**: 60.4 meV per atom

Cell and atoms, written as POSCAR:
```
Zn2InSb
1.0
7.1023 0.0000 0.0000
0.0000 7.1023 0.0000
0.0000 0.0000 7.1023
Zn In Sb
8 4 4
Direct
0.2500 0.2500 0.2500 Zn
0.2500 0.2500 0.7500 Zn
0.2500 0.7500 0.2500 Zn
0.2500 0.7500 0.7500 Zn
0.7500 0.2500 0.2500 Zn
0.7500 0.2500 0.7500 Zn
0.7500 0.7500 0.2500 Zn
0.7500 0.7500 0.7500 Zn
0.0000 0.0000 0.0000 In
0.0000 0.5000 0.5000 In
0.5000 0.0000 0.5000 In
0.5000 0.5000 0.0000 In
0.0000 0.0000 0.5000 Sb
0.0000 0.5000 0.0000 Sb
0.5000 0.0000 0.0000 Sb
0.5000 0.5000 0.5000 Sb
```

---

Below is ScCr2Br after structural relaxation, with properties calculated at the PBE level.

**ΔE_f (raw)**: -10.7 meV per atom
**Energy above the lowest structure with this stoichiometry**: 0.0 meV per atom

Cell and atoms, written as POSCAR:
```
ScCr2Br
1.0
3.1603 0.0000 0.0000
0.0000 3.1795 0.0000
0.0000 0.0000 14.7998
Sc Cr Br
2 4 2
Direct
0.0000 0.0000 0.0000 Sc
0.0000 0.5000 0.5000 Sc
0.0000 0.0000 0.2021 Cr
0.0000 0.5000 0.7021 Cr
0.5000 0.0000 0.6226 Cr
0.5000 0.5000 0.1226 Cr
0.5000 0.0000 0.3723 Br
0.5000 0.5000 0.8723 Br
```

---

Below is TlTcAs2Br after structural relaxation, with properties calculated at the PBE level.

**ΔE_f (raw)**: 96.7 meV per atom
**Energy above the lowest structure with this stoichiometry**: 0.0 meV per atom

Cell and atoms, written as POSCAR:
```
TlTcAs2Br
1.0
4.7730 0.0000 0.0000
0.0000 4.7730 0.0000
0.0000 0.0000 5.7558
Tl Tc As Br
1 1 2 1
Direct
0.0000 0.0000 0.0000 Tl
0.5000 0.5000 0.5000 Tc
0.0000 0.5000 0.5000 As
0.5000 0.0000 0.5000 As
0.5000 0.5000 0.0000 Br
```

---

Below is NpSc5As6 after structural relaxation, with properties calculated at the PBE level.

**Formation enthalpy at 0 K**: -1247 meV/atom

Cell and atoms, written as POSCAR:
```
NpSc5As6
1.0
3.3927 -5.8796 0.0000
3.3927 5.8796 0.0000
-2.2662 0.0000 6.3974
Np Sc As
1 5 6
Direct
0.0000 0.0000 0.0000 Np
0.1651 0.8349 0.5000 Sc
0.3330 0.6670 0.0000 Sc
0.5000 0.5000 0.5000 Sc
0.6670 0.3330 0.0000 Sc
0.8349 0.1651 0.5000 Sc
0.0850 0.4240 0.2550 As
0.2552 0.2552 0.7479 As
0.4240 0.0850 0.2550 As
0.5760 0.9150 0.7450 As
0.7448 0.7448 0.2521 As
0.9150 0.5760 0.7450 As
```

---

Below is Y2MnIr3 after structural relaxation, with properties calculated at the PBE level.

**Formation enthalpy at 0 K**: -700 meV/atom

Cell and atoms, written as POSCAR:
```
Y2MnIr3
1.0
5.4633 0.0000 0.0000
-2.7317 4.7314 0.0000
0.0000 0.0000 8.3039
Y Mn Ir
4 2 6
Direct
0.3333 0.6667 0.0643 Y
0.3333 0.6667 0.4357 Y
0.6667 0.3333 0.5643 Y
0.6667 0.3333 0.9357 Y
0.0000 0.0000 0.0000 Mn
0.0000 0.0000 0.5000 Mn
0.1687 0.3374 0.7500 Ir
0.1687 0.8313 0.7500 Ir
0.3374 0.1687 0.2500 Ir
0.6626 0.8313 0.7500 Ir
0.8313 0.1687 0.2500 Ir
0.8313 0.6626 0.2500 Ir
```

---

Below is SiGeSb2As after structural relaxation, with properties calculated at the PBE level.

**ΔE_f (raw)**: 880.8 meV per atom

Cell and atoms, written as POSCAR:
```
SiGeSb2As
1.0
5.3651 0.0000 0.0000
0.0000 5.3651 0.0000
0.0000 0.0000 4.6669
Si Ge Sb As
1 1 2 1
Direct
0.0000 0.0000 0.0000 Si
0.0000 0.0000 0.5000 Ge
0.0000 0.5000 0.5000 Sb
0.5000 0.0000 0.5000 Sb
0.5000 0.5000 0.0000 As
```

---

Below is TiPbSe2N after structural relaxation, with properties calculated at the PBE level.

**ΔE_f (raw)**: 1104.5 meV per atom

Cell and atoms, written as POSCAR:
```
TiPbSe2N
1.0
5.3920 0.0000 0.0000
0.0000 5.3920 0.0000
0.0000 0.0000 4.2243
Ti Pb Se N
1 1 2 1
Direct
0.0000 0.0000 0.0000 Ti
0.5000 0.5000 0.5000 Pb
0.0000 0.5000 0.5000 Se
0.5000 0.0000 0.5000 Se
0.5000 0.5000 0.0000 N
```

---

Below is CeGa3Pd after structural relaxation, with properties calculated at the PBE level.

**Formation enthalpy at 0 K**: -679 meV/atom
**Energy above the lowest structure with this stoichiometry**: 0.0 meV per atom

Cell and atoms, written as POSCAR:
```
CeGa3Pd
1.0
3.2045 -5.1511 0.0000
3.2045 5.1511 0.0000
0.0000 0.0000 5.8854
Ce Ga Pd
2 6 2
Direct
0.2322 0.7678 0.7500 Ce
0.7678 0.2322 0.2500 Ce
0.2865 0.2865 0.0000 Ga
0.2865 0.2865 0.5000 Ga
0.3335 0.6665 0.2500 Ga
0.6665 0.3335 0.7500 Ga
0.7135 0.7135 0.0000 Ga
0.7135 0.7135 0.5000 Ga
0.0931 0.9069 0.2500 Pd
0.9069 0.0931 0.7500 Pd
```

---

Below is Dy6Cd2Pd after structural relaxation, with properties calculated at the PBE level.

**Formation enthalpy at 0 K**: -93 meV/atom

Cell and atoms, written as POSCAR:
```
Dy6Cd2Pd
1.0
7.8989 -3.5849 0.0000
7.8989 3.5849 0.0000
-1.6409 0.0000 4.8333
Dy Cd Pd
6 2 1
Direct
0.0862 0.5973 0.3422 Dy
0.2365 0.7635 0.0000 Dy
0.4027 0.9138 0.6578 Dy
0.5973 0.0862 0.3422 Dy
0.7635 0.2365 0.0000 Dy
0.9138 0.4027 0.6578 Dy
0.3326 0.3326 0.8329 Cd
0.6674 0.6674 0.1671 Cd
0.0000 0.0000 0.5000 Pd
```

---

Number 1: theoretical density 6.5 g/cm3, volume 272.92 Å³ per cell, Fermi-level density of states 5.14 states/eV/f.u.. Number 2: theoretical density 4.9 g/cm3, volume 355.64 Å³ per cell, Fermi-level density of states 6.71 states/eV/f.u.. Number 3: theoretical density 7.7 g/cm3, volume 53.29 Å³ per cell, Fermi-level density of states 1.69 states/eV/f.u.. Number 4: theoretical density 7.3 g/cm3, volume 493.84 Å³ per cell, Fermi-level density of states 6.44 states/eV/f.u.. Number 5: theoretical density 7.3 g/cm3, volume 168.28 Å³ per cell, Fermi-level density of states 2.76 states/eV/f.u.. Number 6: theoretical density 6.6 g/cm3, volume 401.74 Å³ per cell, Fermi-level density of states 5.49 states/eV/f.u.. Number 7: theoretical density 6.8 g/cm3, volume 358.27 Å³ per cell, Fermi-level density of states 1.87 states/eV/f.u.. Number 8: theoretical density 5.1 g/cm3, volume 148.71 Å³ per cell, Fermi-level density of states 2.47 states/eV/f.u.. Number 9: theoretical density 6.7 g/cm3, volume 131.13 Å³ per cell, Fermi-level density of states 1.68 states/eV/f.u.. Number 10: theoretical density 5.9 g/cm3, volume 255.22 Å³ per cell, Fermi-level density of states 12.36 states/eV/f.u.. Number 11: theoretical density 12.5 g/cm3, volume 214.65 Å³ per cell, Fermi-level density of states 4.07 states/eV/f.u.. Number 12: theoretical density 5.2 g/cm3, volume 134.33 Å³ per cell, Fermi-level density of states 3.08 states/eV/f.u.. Number 13: theoretical density 5.8 g/cm3, volume 122.82 Å³ per cell, Fermi-level density of states 9.13 states/eV/f.u.. Number 14: theoretical density 7.8 g/cm3, volume 194.30 Å³ per cell, Fermi-level density of states 6.48 states/eV/f.u.. Number 15: theoretical density 7.9 g/cm3, volume 273.73 Å³ per cell, Fermi-level density of states 11.65 states/eV/f.u..